[1]
A geometry-optimized FeCoSiB structure, computed with PBE-GGA.

a = 5.2733 Å, b = 5.2733 Å, c = 5.2733 Å
α = 90.00°, β = 90.00°, γ = 90.00°
Closest atoms and distances in Å follow each position.
Space group F-43m (No. 216)
Unique sites:
Fe: 0.0000 0.0000 0.0000 [4 per cell]  4 B 2.28, 4 Si 2.28
Co: 0.0000 0.0000 0.5000 [4 per cell]  4 B 2.28, 4 Si 2.28
Si: 0.2500 0.2500 0.7500 [4 per cell]  4 Fe 2.28, 4 Co 2.28
B: 0.2500 0.2500 0.2500 [4 per cell]  4 Fe 2.28, 4 Co 2.28

## Properties
The value obtained for the uncorrected formation energy is -16 kJ/mol of atoms. Its electronic total energy is -7.09 eV/atom. As for the crystal system: cubic.


[2]
A geometry-optimized NdHoZn structure, computed with PBE-GGA.

a = 10.0640 Å, b = 4.9990 Å, c = 7.0903 Å
α = 90.00°, β = 90.00°, γ = 90.00°
Closest atoms and distances in Å follow each position.
Space group Pnma (No. 62)
Unique sites:
Nd: 0.1334 0.2500 0.0023 [4 per cell]  4 Zn 3.01-3.16
Ho: 0.1186 0.2500 0.5031 [4 per cell]  4 Zn 2.99-3.14
Zn: 0.1241 0.7500 0.2537 [4 per cell]  4 Ho 2.99-3.14, 4 Nd 3.01-3.16

## Properties
Its electronic total energy is -3.51 eV/atom. As for the crystal system: orthorhombic. The value obtained for the relative energy among the computed polymorphs is 232 meV per atom.


[3]
A geometry-optimized EuYScTl structure, computed with PBE-GGA.

a = 7.6297 Å, b = 7.6297 Å, c = 7.6297 Å
α = 90.00°, β = 90.00°, γ = 90.00°
Closest atoms and distances in Å follow each position.
Space group F-43m (No. 216)
Unique sites:
Eu: 0.0000 0.0000 0.0000 [4 per cell]  4 Sc 3.30, 4 Y 3.30
Y: 0.2500 0.2500 0.2500 [4 per cell]  4 Tl 3.30, 4 Eu 3.30
Sc: 0.2500 0.2500 0.7500 [4 per cell]  4 Tl 3.30, 4 Eu 3.30
Tl: 0.0000 0.0000 0.5000 [4 per cell]  4 Y 3.30, 4 Sc 3.30

## Properties
Its electronic total energy is -6.37 eV/atom. As for the crystal system: cubic.


[4]
A geometry-optimized Sm2ZnGe4Au3 structure, computed with PBE-GGA.

a = 4.2745 Å, b = 4.2745 Å, c = 11.2061 Å
α = 90.00°, β = 90.00°, γ = 90.00°
Closest atoms and distances in Å follow each position.
Space group P-4m2 (No. 115)
Unique sites:
Sm: 0.0000 0.5000 0.2373 [2 per cell]  4 Ge 3.23, 6 Au 3.31-3.41, 2 Zn 3.41
Zn: 0.5000 0.5000 0.0000 [1 per cell]  4 Ge 2.62
Ge: 0.0000 0.0000 0.5000 [1 per cell]  4 Au 2.67
Ge: 0.0000 0.5000 0.8654 [2 per cell]  3 Au 2.49-2.62, 2 Zn 2.62
Ge: 0.5000 0.5000 0.5000 [1 per cell]  4 Au 2.67
Au: 0.0000 0.0000 0.0000 [1 per cell]  4 Ge 2.62
Au: 0.0000 0.5000 0.6430 [2 per cell]  5 Ge 2.49-2.67

## Properties
Its electronic total energy is -4.40 eV/atom. As for the crystal system: tetragonal.


[5]
A geometry-optimized DyPaTe2N structure, computed with PBE-GGA.

a = 4.1000 Å, b = 4.1000 Å, c = 14.7442 Å
α = 90.00°, β = 90.00°, γ = 90.00°
Closest atoms and distances in Å follow each position.
Space group P4/nmm (No. 129, origin choice 2)
Unique sites:
Dy: 0.2500 0.2500 0.0868 [2 per cell]  6 Te 2.96-3.28
Pa: 0.2500 0.2500 0.5747 [2 per cell]  4 N 2.33
Te: 0.2500 0.2500 0.3091 [2 per cell]  1 Dy 3.28, 4 Pa 3.37, 4 N 3.48
Te: 0.2500 0.2500 0.8737 [2 per cell]  5 Dy 2.96-3.14
N: 0.2500 0.7500 0.5000 [2 per cell]  4 Pa 2.33

## Properties
The value obtained for the uncorrected formation energy is -140 kJ/mol of atoms. Its electronic total energy is -7.20 eV/atom. As for the crystal system: tetragonal.


[6]
A geometry-optimized CeNd6Hg5 structure, computed with PBE-GGA.

a = 5.4140 Å, b = 7.8548 Å, c = 16.2996 Å
α = 90.00°, β = 90.00°, γ = 90.00°
Closest atoms and distances in Å follow each position.
Space group Immm (No. 71)
Unique sites:
Ce: 0.0000 0.0000 0.0000 [2 per cell]  8 Nd 3.44, 4 Hg 3.68
Nd: 0.0000 0.2291 0.5000 [4 per cell]  6 Hg 3.25-3.30, 2 Ce 3.44, 1 Nd 3.60
Nd: 0.0000 0.2559 0.1710 [8 per cell]  7 Hg 3.28-3.45, 1 Ce 3.44
Hg: 0.0000 0.0000 0.3301 [4 per cell]  8 Nd 3.28-3.32
Hg: 0.0000 0.5000 0.0000 [2 per cell]  8 Nd 3.25-3.38
Hg: 0.0000 0.5000 0.3471 [4 per cell]  8 Nd 3.28-3.45

## Properties
Its electronic total energy is -3.34 eV/atom. As for the crystal system: orthorhombic.


[7]
A geometry-optimized SrSm4Mg5 structure, computed with PBE-GGA.

a = 3.8944 Å, b = 3.8944 Å, c = 19.7729 Å
α = 90.00°, β = 90.00°, γ = 90.00°
Closest atoms and distances in Å follow each position.
Space group P4/mmm (No. 123)
Unique sites:
Sr: 0.0000 0.0000 0.0000 [1 per cell]  8 Mg 3.61, 4 Sr 3.89
Sm: 0.0000 0.0000 0.2144 [2 per cell]  8 Mg 3.32-3.35
Sm: 0.0000 0.0000 0.4040 [2 per cell]  8 Mg 3.34
Mg: 0.5000 0.5000 0.1182 [2 per cell]  4 Sm 3.35, 4 Sr 3.61
Mg: 0.5000 0.5000 0.3081 [2 per cell]  8 Sm 3.32-3.34
Mg: 0.5000 0.5000 0.5000 [1 per cell]  8 Sm 3.34

## Properties
Its electronic total energy is -2.94 eV/atom. As for the crystal system: tetragonal.


[8]
A geometry-optimized Ba2P2Pb structure, computed with PBE-GGA.

a = 9.0325 Å, b = 9.0325 Å, c = 3.8729 Å
α = 90.00°, β = 90.00°, γ = 90.00°
Closest atoms and distances in Å follow each position.
Space group P4/mbm (No. 127)
Unique sites:
Ba: 0.1324 0.3676 0.0000 [4 per cell]  6 P 3.17-3.37, 1 Ba 3.38, 2 Pb 3.53
P: 0.1709 0.6709 0.5000 [4 per cell]  6 Ba 3.17-3.37
Pb: 0.0000 0.0000 0.0000 [2 per cell]  4 Ba 3.53, 8 P 3.87, 2 Pb 3.87

## Properties
Its electronic total energy is -3.98 eV/atom. As for the crystal system: tetragonal. The value obtained for the relative energy among the computed polymorphs is 117 meV per atom.


[9]
A geometry-optimized LiMnSn2 structure, computed with PBE-GGA.

a = 3.2391 Å, b = 3.2391 Å, c = 26.9782 Å
α = 90.00°, β = 90.00°, γ = 120.00°
Closest atoms and distances in Å follow each position.
Space group R3m (No. 160, hexagonal axes)
Unique sites:
Li: 0.0000 0.0000 0.0000 [3 per cell]  6 Sn 2.98-3.03, 6 Li 3.24
Mn: 0.0000 0.0000 0.8348 [3 per cell]  6 Sn 2.84-2.85
Sn: 0.0000 0.0000 0.2475 [3 per cell]  3 Mn 2.84, 3 Li 2.98
Sn: 0.0000 0.0000 0.4215 [3 per cell]  3 Mn 2.85, 3 Li 3.03

## Properties
Its electronic total energy is -4.78 eV/atom. As for the crystal system: trigonal. The value obtained for the relative energy among the computed polymorphs is 58 meV per atom.


[10]
A geometry-optimized TaPb2Au structure, computed with PBE-GGA.

a = 4.2470 Å, b = 4.2470 Å, c = 9.9173 Å
α = 90.00°, β = 90.00°, γ = 90.00°
Closest atoms and distances in Å follow each position.
Space group I-4m2 (No. 119)
Unique sites:
Ta: 0.0000 0.0000 0.0000 [2 per cell]  8 Pb 3.00-3.26, 4 Au 3.26
Pb: 0.0000 0.0000 0.5000 [2 per cell]  4 Ta 3.00, 4 Pb 3.26, 4 Au 3.26
Pb: 0.0000 0.5000 0.2500 [2 per cell]  4 Au 3.00, 4 Ta 3.26, 4 Pb 3.26
Au: 0.0000 0.5000 0.7500 [2 per cell]  8 Pb 3.00-3.26, 4 Ta 3.26

## Properties
Its electronic total energy is -5.13 eV/atom. As for the crystal system: tetragonal. The value obtained for the relative energy among the computed polymorphs is 351 meV per atom.


[11]
A geometry-optimized Rb4TbEr3Te8 structure, computed with PBE-GGA.

a = 9.0189 Å, b = 9.0189 Å, c = 25.6461 Å
α = 90.00°, β = 90.00°, γ = 120.00°
Closest atoms and distances in Å follow each position.
Space group R-3m (No. 166, hexagonal axes)
Unique sites:
Rb: 0.0000 0.0000 0.0000 [3 per cell]  6 Te 3.65
Rb: 0.0000 0.5000 0.0000 [9 per cell]  6 Te 3.67
Tb: 0.0000 0.0000 0.5000 [3 per cell]  6 Te 3.12
Er: 0.0000 0.5000 0.5000 [9 per cell]  6 Te 3.10
Te: 0.0000 0.0000 0.2324 [6 per cell]  3 Er 3.10
Te: 0.0025 0.5012 0.7672 [18 per cell]  2 Er 3.10, 1 Tb 3.12

## Properties
The value obtained for the uncorrected formation energy is -133 kJ/mol of atoms. Its electronic total energy is -4.33 eV/atom. As for the crystal system: trigonal.


[12]
A geometry-optimized CsPaCuO5 structure, computed with PBE-GGA.

a = 8.7516 Å, b = 10.6175 Å, c = 6.4568 Å
α = 90.00°, β = 119.29°, γ = 90.00°
Closest atoms and distances in Å follow each position.
Space group C2/c (No. 15)
Unique sites:
Cs: 0.0000 0.0948 0.2500 [4 per cell]  5 O 2.84-3.11
Pa: 0.2500 0.2500 0.0000 [4 per cell]  6 O 2.15-2.19
Cu: 0.0000 0.4516 0.2500 [4 per cell]  4 O 1.87
O: 0.0000 0.1724 0.7500 [4 per cell]  2 Pa 2.15
O: 0.1443 0.3348 0.2127 [8 per cell]  1 Cu 1.87
O: 0.1658 0.4233 0.8026 [8 per cell]  1 Cu 1.87

## Properties
The value obtained for the uncorrected formation energy is -179 kJ/mol of atoms. Its electronic total energy is -6.76 eV/atom. As for the crystal system: monoclinic.


[13]
A geometry-optimized RbSr2Tl structure, computed with PBE-GGA.

a = 4.1945 Å, b = 4.1945 Å, c = 11.4710 Å
α = 90.00°, β = 90.00°, γ = 90.00°
Closest atoms and distances in Å follow each position.
Space group P4/mmm (No. 123)
Unique sites:
Rb: 0.0000 0.0000 0.0000 [1 per cell]  4 Rb 4.19
Sr: 0.5000 0.5000 0.3338 [2 per cell]  4 Tl 3.53, 1 Sr 3.81
Tl: 0.0000 0.0000 0.5000 [1 per cell]  8 Sr 3.53

## Properties
Its electronic total energy is -1.84 eV/atom. As for the crystal system: tetragonal. The value obtained for the relative energy among the computed polymorphs is 0 meV per atom.


[14]
A geometry-optimized CoMoPRu2 structure, computed with PBE-GGA.

a = 4.3209 Å, b = 4.3209 Å, c = 4.0921 Å
α = 90.00°, β = 90.00°, γ = 90.00°
Closest atoms and distances in Å follow each position.
Space group P4/mmm (No. 123)
Unique sites:
Co: 0.0000 0.0000 0.0000 [1 per cell]  2 P 2.05
Mo: 0.5000 0.5000 0.0000 [1 per cell]  8 Ru 2.98, 4 Co 3.06
P: 0.0000 0.0000 0.5000 [1 per cell]  2 Co 2.05, 4 Ru 2.16
Ru: 0.0000 0.5000 0.5000 [2 per cell]  2 P 2.16

## Properties
Its electronic total energy is -7.82 eV/atom. As for the crystal system: tetragonal.


[15]
A geometry-optimized HoPu2Al structure, computed with PBE-GGA.

a = 7.3940 Å, b = 7.3940 Å, c = 7.3940 Å
α = 90.00°, β = 90.00°, γ = 90.00°
Closest atoms and distances in Å follow each position.
Space group Fm-3m (No. 225)
Unique sites:
Ho: 0.0000 0.0000 0.0000 [4 per cell]  8 Pu 3.20
Pu: 0.2500 0.2500 0.2500 [8 per cell]  4 Ho 3.20, 4 Al 3.20
Al: 0.0000 0.0000 0.5000 [4 per cell]  8 Pu 3.20

## Properties
Its electronic total energy is -9.12 eV/atom. As for the crystal system: cubic. The value obtained for the relative energy among the computed polymorphs is 209 meV per atom.


[16]
A geometry-optimized ErInOs structure, computed with PBE-GGA.

a = 12.7755 Å, b = 4.3112 Å, c = 5.1819 Å
α = 90.00°, β = 102.70°, γ = 90.00°
Closest atoms and distances in Å follow each position.
Space group C2/m (No. 12)
Unique sites:
Er: 0.1280 0.0000 0.3304 [4 per cell]  2 Os 2.76-2.92
In: 0.0689 0.5000 0.7859 [4 per cell]  3 Os 2.83-2.87, 2 In 3.10-3.12
Os: 0.2204 0.0000 0.8975 [4 per cell]  2 Os 2.45

## Properties
Its electronic total energy is -6.35 eV/atom. As for the crystal system: monoclinic.


[17]
A geometry-optimized Tl2CrRu structure, computed with PBE-GGA.

a = 3.0832 Å, b = 4.6525 Å, c = 11.4870 Å
α = 90.00°, β = 90.00°, γ = 90.00°
Closest atoms and distances in Å follow each position.
Space group Imm2 (No. 44)
Unique sites:
Tl: 0.0000 0.0000 0.0000 [2 per cell]  4 Cr 3.00, 2 Ru 3.05, 2 Tl 3.08
Tl: 0.0000 0.5000 0.2165 [2 per cell]  4 Ru 2.79, 2 Tl 3.08
Cr: 0.0000 0.0000 0.4039 [2 per cell]  2 Ru 2.53
Ru: 0.0000 0.5000 0.7289 [2 per cell]  2 Cr 2.53, 4 Tl 2.79

## Properties
Its electronic total energy is -5.34 eV/atom. As for the crystal system: orthorhombic. The value obtained for the relative energy among the computed polymorphs is 170 meV per atom.


[18]
A geometry-optimized Hg2GePb structure, computed with PBE-GGA.

a = 3.5958 Å, b = 3.5958 Å, c = 7.7652 Å
α = 90.00°, β = 90.00°, γ = 90.00°
Closest atoms and distances in Å follow each position.
Space group P4/mmm (No. 123)
Unique sites:
Hg: 0.0000 0.0000 0.2188 [2 per cell]  4 Ge 3.06, 4 Pb 3.35, 1 Hg 3.40
Ge: 0.5000 0.5000 0.0000 [1 per cell]  8 Hg 3.06
Pb: 0.5000 0.5000 0.5000 [1 per cell]  8 Hg 3.35, 4 Pb 3.60

## Properties
Its electronic total energy is -2.05 eV/atom. As for the crystal system: tetragonal. The value obtained for the relative energy among the computed polymorphs is 0 meV per atom.


[19]
A geometry-optimized SrTb2Si6 structure, computed with PBE-GGA.

a = 7.1564 Å, b = 7.1564 Å, c = 4.1104 Å
α = 90.00°, β = 90.00°, γ = 120.00°
Closest atoms and distances in Å follow each position.
Space group P6/mmm (No. 191)
Unique sites:
Sr: 0.0000 0.0000 0.0000 [1 per cell]  12 Si 3.18
Tb: 0.3333 0.6667 0.0000 [2 per cell]  12 Si 3.14
Si: 0.0000 0.3383 0.5000 [6 per cell]  3 Si 2.31-2.42

## Properties
The value obtained for the uncorrected formation energy is -42 kJ/mol of atoms. Its electronic total energy is -5.27 eV/atom. As for the crystal system: hexagonal.


[20]
A geometry-optimized Ba4CdNi structure, computed with PBE-GGA.

a = 10.1414 Å, b = 10.1414 Å, c = 10.1414 Å
α = 90.00°, β = 90.00°, γ = 90.00°
Closest atoms and distances in Å follow each position.
Space group F-43m (No. 216)
Unique sites:
Ba: 0.1244 0.1244 0.3756 [16 per cell]  6 Ba 3.57-3.60
Cd: 0.0000 0.0000 0.0000 [4 per cell]  12 Ba 4.21, 4 Ni 4.39
Ni: 0.2500 0.2500 0.7500 [4 per cell]  12 Ba 4.20, 4 Cd 4.39

## Properties
Its electronic total energy is -1.66 eV/atom. As for the crystal system: cubic.